Computed, not measured: a relaxed structure of LiGaNi2O4 at the PBE with a Hubbard U level of DFT.

V: 9.15 Å³ per atom
symmetry: P2/m
uncorrected energy: -5.21 eV/atom

Structure (POSCAR):
```
LiGaNi2O4
1.0
5.063 0.000 0.000
0.000 2.989 0.000
-1.554 0.000 4.838
Li Ga Ni O
1 1 2 4
Direct
0.000 0.000 0.000
0.500 0.500 0.000
0.000 0.500 0.500
0.500 0.000 0.500
0.256 0.000 0.758
0.268 0.500 0.248
0.732 0.500 0.752
0.744 0.000 0.242
```